(1)
Tb3Ho2Mg7 | Alexandria via LeMat-Bulk | PBE | relaxed; energy of formation = 0.11 eV per atom; D(E_F) = 1.07 states/eV/atom; crystal system = orthorhombic
1.0
5.154 0.000 0.000
0.000 5.137 0.000
0.000 -2.568 12.895
Tb Ho Mg
3 2 7
direct
0.500 0.500 0.000 Tb
0.500 0.659 0.318 Tb
0.500 0.341 0.682 Tb
0.000 0.856 0.712 Ho
0.000 0.144 0.288 Ho
0.000 0.428 0.856 Mg
0.000 0.730 0.460 Mg
0.000 0.000 0.000 Mg
0.000 0.572 0.144 Mg
0.500 0.072 0.145 Mg
0.500 0.928 0.855 Mg
0.000 0.270 0.540 Mg


(2)
Tb2HoMg | Alexandria via LeMat-Bulk | PBE | relaxed; energy of formation = 0.19 eV per atom; D(E_F) = 0.89 states/eV/atom; crystal system = trigonal
1.0
-2.297 -0.185 2.557
-3.080 -1.434 -0.553
2.704 -11.446 3.919
Mg Tb Ho
1 2 1
direct
0.000 0.000 0.000 Mg
0.089 0.089 0.732 Tb
0.911 0.911 0.268 Tb
0.500 0.500 0.500 Ho


(3)
Tb7HoMg2 | Alexandria via LeMat-Bulk | PBE | relaxed; energy of formation = 0.57 eV per atom; D(E_F) = 1.69 states/eV/atom; crystal system = orthorhombic
1.0
-3.136 -3.163 -2.776
7.283 -5.369 -2.108
-5.351 -1.267 7.488
Tb Ho Mg
7 1 2
direct
0.000 0.790 0.210 Tb
0.000 0.210 0.790 Tb
0.500 0.070 0.295 Tb
0.500 0.930 0.705 Tb
0.500 0.295 0.070 Tb
0.500 0.705 0.930 Tb
0.500 0.500 0.500 Tb
0.000 0.000 0.000 Ho
0.500 0.701 0.299 Mg
0.500 0.299 0.701 Mg


(4)
TbHo3Mg | Alexandria via LeMat-Bulk | PBE | relaxed; energy of formation = 0.04 eV per atom; D(E_F) = 1.27 states/eV/atom; crystal system = monoclinic
1.0
-4.253 2.027 4.414
-6.953 -6.930 -0.791
2.532 -5.566 7.721
Tb Ho Mg
4 12 4
direct
0.553 0.524 0.677 Tb
0.947 0.323 0.476 Tb
0.447 0.476 0.323 Tb
0.053 0.677 0.524 Tb
0.148 0.720 0.870 Ho
0.352 0.130 0.280 Ho
0.852 0.280 0.130 Ho
0.648 0.870 0.720 Ho
0.360 0.378 0.010 Ho
0.140 0.990 0.622 Ho
0.640 0.622 0.990 Ho
0.860 0.010 0.378 Ho
0.043 0.404 0.789 Ho
0.457 0.211 0.596 Ho
0.957 0.596 0.211 Ho
0.543 0.789 0.404 Ho
0.750 0.927 0.073 Mg
0.250 0.073 0.927 Mg
0.750 0.168 0.832 Mg
0.250 0.832 0.168 Mg


(5)
Tb5Ho4Mg | Alexandria via LeMat-Bulk | PBE | relaxed; energy of formation = 0.21 eV per atom; D(E_F) = 1.13 states/eV/atom; crystal system = tetragonal
1.0
5.734 0.000 0.000
2.867 7.455 0.000
2.867 0.000 7.455
Tb Ho Mg
5 4 1
direct
0.765 0.372 0.000 Tb
0.137 0.000 0.628 Tb
0.765 0.000 0.372 Tb
0.137 0.628 0.000 Tb
0.669 0.000 0.000 Tb
0.462 0.322 0.678 Ho
0.783 0.678 0.678 Ho
0.140 0.322 0.322 Ho
0.461 0.678 0.322 Ho
0.192 0.000 0.000 Mg


(6)
Tb6Ho2Mg | Alexandria via LeMat-Bulk | PBE | relaxed; energy of formation = 0.02 eV per atom; D(E_F) = 1.43 states/eV/atom; crystal system = tetragonal
1.0
5.023 0.000 0.202
0.000 10.513 0.000
-0.421 0.000 10.504
Tb Ho Mg
12 4 2
direct
0.000 0.000 0.166 Tb
0.000 0.667 0.501 Tb
0.000 0.665 0.835 Tb
0.500 0.165 0.665 Tb
0.500 0.166 0.999 Tb
0.500 0.500 0.333 Tb
0.000 0.000 0.834 Tb
0.000 0.333 0.499 Tb
0.000 0.335 0.165 Tb
0.500 0.835 0.335 Tb
0.500 0.834 0.001 Tb
0.500 0.500 0.667 Tb
0.000 0.333 0.833 Ho
0.500 0.833 0.667 Ho
0.500 0.167 0.333 Ho
0.000 0.667 0.167 Ho
0.500 0.500 0.000 Mg
0.000 0.000 0.500 Mg


Q: Which of these has the lowest D(E_F)?
A: Tb2HoMg